# 1
TbTmSn2Ir: optimized geometry, GGA-PBE.

a = 5.8922 Å, b = 5.8922 Å, c = 10.8895 Å
α = 113.68°, β = 113.68°, γ = 44.90°
Atoms (fractional coordinates):
Tb 0.1879 0.1879 0.1287
Tb 0.8121 0.8121 0.8713
Tm 0.0019 0.0019 0.6710
Tm 0.9981 0.9981 0.3290
Sn 0.3463 0.3463 0.4533
Sn 0.4706 0.4706 0.1183
Sn 0.5294 0.5294 0.8817
Sn 0.6537 0.6537 0.5467
Ir 0.2735 0.2735 0.6737
Ir 0.7265 0.7265 0.3263

SG	No. 12
crystal system	monoclinic


# 2
NdNpNi: optimized geometry, GGA-PBE.

a = 6.3636 Å, b = 6.3636 Å, c = 6.3636 Å
α = 90.00°, β = 90.00°, γ = 90.00°
Atoms (fractional coordinates):
Nd 0.0000 0.0000 0.0000
Nd 0.0000 0.5000 0.5000
Nd 0.5000 0.0000 0.5000
Nd 0.5000 0.5000 0.0000
Np 0.2500 0.2500 0.7500
Np 0.2500 0.7500 0.2500
Np 0.7500 0.2500 0.2500
Np 0.7500 0.7500 0.7500
Ni 0.2500 0.2500 0.2500
Ni 0.2500 0.7500 0.7500
Ni 0.7500 0.2500 0.7500
Ni 0.7500 0.7500 0.2500

DFT formation energy	1.041	eV per atom
SG	No. 216
crystal system	cubic


# 3
NpPd5Pt2: optimized geometry, GGA-PBE.

a = 5.7022 Å, b = 11.3020 Å, c = 4.0822 Å
α = 90.00°, β = 90.00°, γ = 90.00°
Atoms (fractional coordinates):
Np 0.0000 0.0000 0.0000
Np 0.5000 0.5000 0.0000
Pd 0.0000 0.5000 0.0000
Pd 0.0034 0.2478 0.0000
Pd 0.2442 0.6266 0.5000
Pd 0.2558 0.1266 0.5000
Pd 0.4966 0.7478 0.0000
Pd 0.5000 0.0000 0.0000
Pd 0.5034 0.2522 0.0000
Pd 0.7442 0.8734 0.5000
Pd 0.7558 0.3734 0.5000
Pd 0.9966 0.7522 0.0000
Pt 0.2478 0.8772 0.5000
Pt 0.2522 0.3772 0.5000
Pt 0.7478 0.6228 0.5000
Pt 0.7522 0.1228 0.5000

DFT formation energy	-0.349	eV per atom
SG	No. 55
crystal system	orthorhombic


no.,total magnetization (μB/f.u.),E (eV/cell)
1,0.00,-59.7
2,0.05,-79.9
3,2.29,-107.1